[1]
An optimized crystal structure of NaIO4. Source: Alexandria, functional PBE.

Cell and atoms, written as CIF:
```
data_NaIO4
_cell_length_a 7.030
_cell_length_b 7.030
_cell_length_c 8.918
_cell_angle_alpha 69.18
_cell_angle_beta 69.18
_cell_angle_gamma 32.46
_space_group_name_H-M_alt 'P 1'
_space_group_IT_number 1
loop_
_space_group_symop_operation_xyz
'x,y,z'
loop_
_atom_site_label
_atom_site_type_symbol
_atom_site_fract_x
_atom_site_fract_y
_atom_site_fract_z
O1 O 0.027 0.586 0.091
O2 O 0.120 0.439 0.618
O3 O 0.561 0.880 0.382
O4 O 0.414 0.973 0.909
Na1 Na 0.850 0.399 0.092
Na2 Na 0.601 0.150 0.908
I1 I 0.298 0.036 0.726
O5 O 0.746 0.128 0.193
O6 O 0.351 0.876 0.260
I2 I 0.964 0.702 0.274
O7 O 0.872 0.254 0.807
O8 O 0.124 0.649 0.740
```

energy above the most stable polymorph in this dataset	336	meV/atom
crystal system	monoclinic
formation energy from raw total energies	-283	meV/atom
calculated volume	109.9	Å³/f.u.
magnetic moment	0.3372	μB per atom


[2]
An optimized crystal structure of Na12I3O5. Source: Alexandria, functional PBE.

Cell and atoms, written as CIF:
```
data_Na12I3O5
_cell_length_a 13.423
_cell_length_b 13.423
_cell_length_c 13.423
_cell_angle_alpha 109.47
_cell_angle_beta 109.47
_cell_angle_gamma 109.47
_space_group_name_H-M_alt 'P 1'
_space_group_IT_number 1
loop_
_space_group_symop_operation_xyz
'x,y,z'
loop_
_atom_site_label
_atom_site_type_symbol
_atom_site_fract_x
_atom_site_fract_y
_atom_site_fract_z
Na1 Na 0.180 0.100 0.001
Na2 Na 0.179 0.499 0.600
O1 O 0.000 0.000 0.000
I1 I 0.125 0.875 0.750
Na3 Na 0.001 0.400 0.321
Na4 Na 0.679 0.580 0.180
O2 O 0.250 0.875 0.125
Na5 Na 0.100 0.180 0.501
Na6 Na 0.821 0.320 0.920
Na7 Na 0.321 0.900 0.001
O3 O 0.375 0.250 0.125
Na8 Na 0.400 0.999 0.320
Na9 Na 0.320 0.821 0.420
Na10 Na 0.001 0.600 0.180
Na11 Na 0.400 0.400 0.580
Na12 Na 0.600 0.999 0.179
Na13 Na 0.580 0.900 0.400
Na14 Na 0.920 0.820 0.821
Na15 Na 0.900 0.321 0.501
Na16 Na 0.080 0.180 0.179
Na17 Na 0.100 0.420 0.100
I2 I 0.250 0.625 0.875
O4 O 0.500 0.500 0.500
I3 I 0.625 0.250 0.375
Na18 Na 0.400 0.400 0.080
Na19 Na 0.180 0.080 0.679
Na20 Na 0.080 0.900 0.400
Na21 Na 0.501 0.821 0.900
O5 O 0.125 0.375 0.250
I4 I 0.125 0.250 0.875
Na22 Na 0.999 0.400 0.820
Na23 Na 0.420 0.100 0.600
I5 I 0.750 0.375 0.125
O6 O 0.000 0.500 0.500
Na24 Na 0.820 0.920 0.321
I6 I 0.875 0.125 0.250
O7 O 0.750 0.625 0.375
Na25 Na 0.400 0.001 0.821
Na26 Na 0.420 0.321 0.320
I7 I 0.375 0.750 0.625
I8 I 0.375 0.625 0.250
Na27 Na 0.999 0.600 0.679
Na28 Na 0.501 0.680 0.100
O8 O 0.750 0.125 0.875
O9 O 0.500 0.000 0.000
Na29 Na 0.920 0.100 0.600
Na30 Na 0.821 0.501 0.400
Na31 Na 0.820 0.900 0.999
Na32 Na 0.600 0.001 0.680
O10 O 0.625 0.875 0.250
O11 O 0.500 0.500 0.000
O12 O 0.500 0.000 0.500
O13 O 0.375 0.125 0.750
Na33 Na 0.100 0.920 0.100
Na34 Na 0.100 0.679 0.499
O14 O 0.250 0.375 0.625
O15 O 0.125 0.750 0.375
O16 O 0.875 0.625 0.750
Na35 Na 0.321 0.420 0.820
Na36 Na 0.680 0.179 0.580
I9 I 0.875 0.750 0.125
Na37 Na 0.320 0.499 0.400
I10 I 0.750 0.875 0.625
O17 O 0.875 0.250 0.625
I11 I 0.250 0.125 0.375
Na38 Na 0.580 0.679 0.680
O18 O 0.000 0.500 0.000
I12 I 0.625 0.375 0.750
Na39 Na 0.680 0.501 0.600
Na40 Na 0.900 0.080 0.900
Na41 Na 0.679 0.100 0.999
Na42 Na 0.600 0.600 0.420
Na43 Na 0.499 0.179 0.100
Na44 Na 0.900 0.820 0.499
Na45 Na 0.900 0.580 0.900
O19 O 0.000 0.000 0.500
O20 O 0.625 0.750 0.875
Na46 Na 0.179 0.680 0.080
Na47 Na 0.600 0.600 0.920
Na48 Na 0.499 0.320 0.900
```

D(E_F)	55.7	states/eV per cell
crystal system	cubic
formation energy from raw total energies	-1123	meV/atom
calculated volume	465.4	Å³/f.u.
magnetic moment	0.0605	μB per atom


[3]
An optimized crystal structure of Na3IO. Source: Alexandria, functional PBE.

Cell and atoms, written as CIF:
```
data_Na3IO
_cell_length_a 4.561
_cell_length_b 9.511
_cell_length_c 6.616
_cell_angle_alpha 82.45
_cell_angle_beta 70.24
_cell_angle_gamma 76.30
_space_group_name_H-M_alt 'P 1'
_space_group_IT_number 1
loop_
_space_group_symop_operation_xyz
'x,y,z'
loop_
_atom_site_label
_atom_site_type_symbol
_atom_site_fract_x
_atom_site_fract_y
_atom_site_fract_z
I1 I 0.799 0.234 0.150
Na1 Na 0.089 0.846 0.949
Na2 Na 0.709 0.574 0.980
Na3 Na 0.060 0.205 0.636
O1 O 0.204 0.961 0.598
I2 I 0.406 0.477 0.676
Na4 Na 0.669 0.937 0.694
Na5 Na 0.364 0.022 0.230
Na6 Na 0.397 0.756 0.410
O2 O 0.557 0.811 0.048
```

D(E_F)	0.0	states/eV per cell
crystal system	triclinic
formation energy from raw total energies	-1180	meV/atom
calculated volume	131.0	Å³/f.u.
magnetic moment	0.0000	μB per atom


[4]
An optimized crystal structure of NaIO3. Source: Alexandria, functional PBE.

Cell and atoms, written as CIF:
```
data_NaIO3
_cell_length_a 4.020
_cell_length_b 4.020
_cell_length_c 4.020
_cell_angle_alpha 90.00
_cell_angle_beta 90.00
_cell_angle_gamma 90.00
_space_group_name_H-M_alt 'P 1'
_space_group_IT_number 1
loop_
_space_group_symop_operation_xyz
'x,y,z'
loop_
_atom_site_label
_atom_site_type_symbol
_atom_site_fract_x
_atom_site_fract_y
_atom_site_fract_z
O1 O 0.000 0.000 0.500
O2 O 0.500 0.000 0.000
O3 O 0.000 0.500 0.000
I1 I 0.500 0.500 0.500
Na1 Na 0.000 0.000 0.000
```

D(E_F)	7.8	states/eV per cell
crystal system	cubic
formation energy from raw total energies	772	meV/atom
calculated volume	65.0	Å³/f.u.
magnetic moment	0.3110	μB per atom


[5]
An optimized crystal structure of Na3IO. Source: Alexandria, functional PBE.

Cell and atoms, written as CIF:
```
data_Na3IO
_cell_length_a 15.960
_cell_length_b 9.168
_cell_length_c 9.168
_cell_angle_alpha 105.58
_cell_angle_beta 136.80
_cell_angle_gamma 43.20
_space_group_name_H-M_alt 'P 1'
_space_group_IT_number 1
loop_
_space_group_symop_operation_xyz
'x,y,z'
loop_
_atom_site_label
_atom_site_type_symbol
_atom_site_fract_x
_atom_site_fract_y
_atom_site_fract_z
Na1 Na 0.106 0.016 0.912
I1 I 0.750 0.617 0.117
Na2 Na 0.894 0.984 0.088
Na3 Na 0.606 0.772 0.299
I2 I 0.250 0.383 0.883
O1 O 0.112 0.551 0.274
Na4 Na 0.000 0.591 0.909
O2 O 0.888 0.449 0.726
Na5 Na 0.500 0.409 0.091
O3 O 0.388 0.774 0.051
Na6 Na 0.394 0.412 0.516
I3 I 0.750 0.118 0.618
Na7 Na 0.106 0.201 0.728
Na8 Na 0.000 0.409 0.091
Na9 Na 0.394 0.228 0.701
Na10 Na 0.500 0.591 0.909
Na11 Na 0.606 0.588 0.484
I4 I 0.250 0.882 0.382
O4 O 0.612 0.226 0.949
Na12 Na 0.894 0.799 0.272
```

D(E_F)	0.0	states/eV per cell
crystal system	orthorhombic
formation energy from raw total energies	-1170	meV/atom
calculated volume	130.1	Å³/f.u.
magnetic moment	0.0000	μB per atom


[6]
An optimized crystal structure of Na3IO. Source: Alexandria, functional PBE.

Cell and atoms, written as CIF:
```
data_Na3IO
_cell_length_a 26.427
_cell_length_b 6.292
_cell_length_c 8.770
_cell_angle_alpha 90.00
_cell_angle_beta 161.22
_cell_angle_gamma 90.00
_space_group_name_H-M_alt 'P 1'
_space_group_IT_number 1
loop_
_space_group_symop_operation_xyz
'x,y,z'
loop_
_atom_site_label
_atom_site_type_symbol
_atom_site_fract_x
_atom_site_fract_y
_atom_site_fract_z
Na1 Na 0.050 0.927 0.003
I1 I 0.178 0.213 0.912
Na2 Na 0.550 0.573 0.503
Na3 Na 0.415 0.191 0.919
Na4 Na 0.664 0.070 0.946
Na5 Na 0.950 0.073 0.997
O1 O 0.577 0.745 0.807
Na6 Na 0.585 0.809 0.081
Na7 Na 0.164 0.430 0.446
O2 O 0.077 0.755 0.307
I2 I 0.822 0.787 0.088
Na8 Na 0.836 0.570 0.554
Na9 Na 0.450 0.427 0.497
I3 I 0.322 0.713 0.588
I4 I 0.678 0.287 0.412
O3 O 0.423 0.255 0.193
Na10 Na 0.915 0.309 0.419
Na11 Na 0.085 0.691 0.581
O4 O 0.923 0.245 0.693
Na12 Na 0.336 0.930 0.054
```

D(E_F)	0.0	states/eV per cell
crystal system	monoclinic
formation energy from raw total energies	-1197	meV/atom
calculated volume	117.4	Å³/f.u.
magnetic moment	0.0000	μB per atom


[7]
An optimized crystal structure of NaI2O2. Source: Alexandria, functional PBE.

Cell and atoms, written as CIF:
```
data_NaI2O2
_cell_length_a 4.606
_cell_length_b 4.606
_cell_length_c 6.935
_cell_angle_alpha 90.00
_cell_angle_beta 90.00
_cell_angle_gamma 90.00
_space_group_name_H-M_alt 'P 1'
_space_group_IT_number 1
loop_
_space_group_symop_operation_xyz
'x,y,z'
loop_
_atom_site_label
_atom_site_type_symbol
_atom_site_fract_x
_atom_site_fract_y
_atom_site_fract_z
O1 O 0.500 0.000 0.000
I1 I 0.000 0.000 0.500
Na1 Na 0.000 0.000 0.000
O2 O 0.000 0.500 0.000
I2 I 0.500 0.500 0.500
```

D(E_F)	2.6	states/eV per cell
energy above the most stable polymorph in this dataset	777	meV/atom
crystal system	tetragonal
formation energy from raw total energies	387	meV/atom
calculated volume	147.1	Å³/f.u.
magnetic moment	0.6081	μB per atom


[8]
An optimized crystal structure of Na3IO. Source: Alexandria, functional PBE.

Cell and atoms, written as CIF:
```
data_Na3IO
_cell_length_a 14.996
_cell_length_b 9.119
_cell_length_c 9.119
_cell_angle_alpha 95.73
_cell_angle_beta 132.18
_cell_angle_gamma 47.82
_space_group_name_H-M_alt 'P 1'
_space_group_IT_number 1
loop_
_space_group_symop_operation_xyz
'x,y,z'
loop_
_atom_site_label
_atom_site_type_symbol
_atom_site_fract_x
_atom_site_fract_y
_atom_site_fract_z
Na1 Na 0.670 0.803 0.899
I1 I 0.288 0.894 0.882
I2 I 0.712 0.106 0.118
O1 O 0.750 0.485 0.985
I3 I 0.212 0.382 0.394
Na2 Na 0.081 0.923 0.930
Na3 Na 0.419 0.430 0.423
Na4 Na 0.581 0.570 0.577
Na5 Na 0.919 0.077 0.070
O2 O 0.250 0.821 0.321
Na6 Na 0.056 0.220 0.169
Na7 Na 0.444 0.669 0.720
Na8 Na 0.170 0.601 0.697
O3 O 0.750 0.179 0.679
O4 O 0.250 0.515 0.015
Na9 Na 0.944 0.780 0.831
Na10 Na 0.556 0.331 0.280
Na11 Na 0.330 0.197 0.101
Na12 Na 0.830 0.399 0.303
I4 I 0.788 0.618 0.606
```

D(E_F)	0.0	states/eV per cell
crystal system	monoclinic
formation energy from raw total energies	-1195	meV/atom
calculated volume	131.6	Å³/f.u.
magnetic moment	0.0000	μB per atom


Please write out number 6 again, unchanged.
An optimized crystal structure of Na3IO. Source: Alexandria, functional PBE.

Cell and atoms, written as CIF:
```
data_Na3IO
_cell_length_a 26.427
_cell_length_b 6.292
_cell_length_c 8.770
_cell_angle_alpha 90.00
_cell_angle_beta 161.22
_cell_angle_gamma 90.00
_space_group_name_H-M_alt 'P 1'
_space_group_IT_number 1
loop_
_space_group_symop_operation_xyz
'x,y,z'
loop_
_atom_site_label
_atom_site_type_symbol
_atom_site_fract_x
_atom_site_fract_y
_atom_site_fract_z
Na1 Na 0.050 0.927 0.003
I1 I 0.178 0.213 0.912
Na2 Na 0.550 0.573 0.503
Na3 Na 0.415 0.191 0.919
Na4 Na 0.664 0.070 0.946
Na5 Na 0.950 0.073 0.997
O1 O 0.577 0.745 0.807
Na6 Na 0.585 0.809 0.081
Na7 Na 0.164 0.430 0.446
O2 O 0.077 0.755 0.307
I2 I 0.822 0.787 0.088
Na8 Na 0.836 0.570 0.554
Na9 Na 0.450 0.427 0.497
I3 I 0.322 0.713 0.588
I4 I 0.678 0.287 0.412
O3 O 0.423 0.255 0.193
Na10 Na 0.915 0.309 0.419
Na11 Na 0.085 0.691 0.581
O4 O 0.923 0.245 0.693
Na12 Na 0.336 0.930 0.054
```

D(E_F)	0.0	states/eV per cell
crystal system	monoclinic
formation energy from raw total energies	-1197	meV/atom
calculated volume	117.4	Å³/f.u.
magnetic moment	0.0000	μB per atom


Question: What is the formula in the first record?
Answer: NaIO4


Question: What is the formula in the fifth record?
Answer: Na3IO